{"formula": "YMgReI2", "functional": "GGA-PBE", "state": "optimized geometry", "lattice_angstrom": [[5.363, 0.000, 0.000], [0.000, 5.363, 0.000], [0.000, 0.000, 5.092]], "species": ["Y", "Mg", "Re", "I", "I"], "fractional_positions": [[0.000, 0.000, 0.000], [0.500, 0.500, 0.000], [0.500, 0.500, 0.500], [0.000, 0.500, 0.500], [0.500, 0.000, 0.500]], "m_tot_mub_per_fu": 1.70, "raw_formation_energy_ev_per_atom": 0.816}

{"formula": "Na2ScIr", "functional": "GGA-PBE", "state": "optimized geometry", "lattice_angstrom": [[3.841, 0.000, 0.000], [0.000, 3.841, 0.000], [0.000, 0.000, 22.935]], "species": ["Na", "Na", "Na", "Na", "Na", "Na", "Na", "Na", "Sc", "Sc", "Sc", "Sc", "Ir", "Ir", "Ir", "Ir"], "fractional_positions": [[0.230, 0.250, 0.125], [0.250, 0.730, 0.375], [0.250, 0.770, 0.875], [0.270, 0.250, 0.625], [0.730, 0.750, 0.625], [0.750, 0.230, 0.875], [0.750, 0.270, 0.375], [0.770, 0.750, 0.125], [0.000, 0.000, 0.500], [0.000, 0.500, 0.750], [0.500, 0.000, 0.250], [0.500, 0.500, 0.000], [0.000, 0.000, 0.000], [0.000, 0.500, 0.250], [0.500, 0.000, 0.750], [0.500, 0.500, 0.500]], "m_tot_mub_per_fu": 0.00, "relative_energy_mev_per_atom": 0, "e_form_mev_per_atom": 123}

{"formula": "RuPt2Rh", "functional": "GGA-PBE", "state": "optimized geometry", "lattice_angstrom": [[5.505, 0.000, 0.000], [0.000, 7.814, 0.000], [0.000, 0.000, 2.755]], "species": ["Ru", "Ru", "Pt", "Pt", "Pt", "Pt", "Rh", "Rh"], "fractional_positions": [[0.000, 0.000, 0.000], [0.500, 0.500, 0.000], [0.250, 0.250, 0.500], [0.250, 0.750, 0.500], [0.750, 0.250, 0.500], [0.750, 0.750, 0.500], [0.000, 0.500, 0.000], [0.500, 0.000, 0.000]], "m_tot_mub_per_fu": 0.00, "relative_energy_mev_per_atom": 65, "e_form_mev_per_atom": 28}

{"formula": "ReSiBr2", "functional": "GGA-PBE", "state": "optimized geometry", "lattice_angstrom": [[4.373, 0.000, 0.000], [0.000, 4.373, 0.000], [0.000, 0.000, 7.536]], "species": ["Re", "Re", "Si", "Si", "Br", "Br", "Br", "Br"], "fractional_positions": [[0.000, 0.000, 0.000], [0.500, 0.500, 0.500], [0.000, 0.500, 0.750], [0.500, 0.000, 0.250], [0.000, 0.000, 0.500], [0.000, 0.500, 0.250], [0.500, 0.000, 0.750], [0.500, 0.500, 0.000]], "m_tot_mub_per_fu": 0.00, "relative_energy_mev_per_atom": 1142, "raw_formation_energy_ev_per_atom": 1.278}

{"formula": "K2RbNa6Hg", "functional": "GGA-PBE", "state": "optimized geometry", "lattice_angstrom": [[4.302, 2.484, 15.729], [-4.302, 2.484, 15.729], [0.000, -4.967, 15.729]], "species": ["K", "K", "K", "K", "Rb", "Rb", "Na", "Na", "Na", "Na", "Na", "Na", "Na", "Na", "Na", "Na", "Na", "Na", "Hg", "Hg"], "fractional_positions": [[0.098, 0.098, 0.098], [0.275, 0.275, 0.275], [0.725, 0.725, 0.725], [0.902, 0.902, 0.902], [0.426, 0.426, 0.426], [0.574, 0.574, 0.574], [0.081, 0.680, 0.680], [0.213, 0.213, 0.643], [0.213, 0.643, 0.213], [0.320, 0.320, 0.919], [0.320, 0.919, 0.320], [0.357, 0.787, 0.787], [0.643, 0.213, 0.213], [0.680, 0.081, 0.680], [0.680, 0.680, 0.081], [0.787, 0.357, 0.787], [0.787, 0.787, 0.357], [0.919, 0.320, 0.320], [0.000, 0.000, 0.000], [0.500, 0.500, 0.500]], "m_tot_mub_per_fu": 0.00, "e_form_mev_per_atom": 7}

{"formula": "Tl2GaCl6", "functional": "GGA-PBE", "state": "optimized geometry", "lattice_angstrom": [[6.902, 0.000, 0.000], [0.000, 7.488, 0.000], [-6.797, 0.000, 9.634]], "species": ["Tl", "Tl", "Tl", "Tl", "Ga", "Ga", "Cl", "Cl", "Cl", "Cl", "Cl", "Cl", "Cl", "Cl", "Cl", "Cl", "Cl", "Cl"], "fractional_positions": [[0.228, 0.089, 0.250], [0.228, 0.411, 0.750], [0.772, 0.589, 0.250], [0.772, 0.911, 0.750], [0.500, 0.000, 0.000], [0.500, 0.500, 0.500], [0.169, 0.170, 0.956], [0.169, 0.330, 0.456], [0.287, 0.726, 0.956], [0.287, 0.774, 0.456], [0.351, 0.019, 0.761], [0.351, 0.481, 0.261], [0.649, 0.519, 0.739], [0.649, 0.981, 0.239], [0.713, 0.226, 0.544], [0.713, 0.274, 0.044], [0.831, 0.670, 0.544], [0.831, 0.830, 0.044]], "m_tot_mub_per_fu": 0.00, "raw_formation_energy_ev_per_atom": -0.899}

{"formula": "K2LaTl", "functional": "GGA-PBE", "state": "optimized geometry", "lattice_angstrom": [[4.390, 0.000, 0.000], [0.000, 5.498, 0.000], [0.000, 0.000, 6.700]], "species": ["K", "K", "La", "Tl"], "fractional_positions": [[0.000, 0.000, 0.000], [0.500, 0.500, 0.000], [0.000, 0.500, 0.500], [0.500, 0.000, 0.500]], "m_tot_mub_per_fu": 0.70, "relative_energy_mev_per_atom": 155, "e_form_mev_per_atom": 141}

{"formula": "Hg3AsBr", "functional": "GGA-PBE", "state": "optimized geometry", "lattice_angstrom": [[3.750, 2.165, 6.317], [-3.750, 2.165, 6.317], [0.000, -4.331, 6.317]], "species": ["Hg", "Hg", "Hg", "Hg", "Hg", "Hg", "As", "As", "Br", "Br"], "fractional_positions": [[0.000, 0.421, 0.579], [0.079, 0.921, 0.500], [0.421, 0.579, 0.000], [0.500, 0.079, 0.921], [0.579, 0.000, 0.421], [0.921, 0.500, 0.079], [0.250, 0.250, 0.250], [0.750, 0.750, 0.750], [0.499, 0.499, 0.499], [0.999, 0.999, 0.999]], "m_tot_mub_per_fu": 0.00, "relative_energy_mev_per_atom": 0, "raw_formation_energy_ev_per_atom": -0.088}